# ThZrAgPb GGA-PBE relaxed
# - Formation energy from the elements: -0.03 eV/atom
# - Calculated volume: 25.52 A^3/atom
# - Crystal system: cubic
data_ThZrAgPb
_chemical_formula_sum 'Th4 Zr4 Ag4 Pb4'
_space_group_name_H-M_alt 'F -4 3 m'
_space_group_IT_number 216
_space_group_name_Hall 'F -4 2 3'
_cell_length_a 7.419
_cell_length_b 7.419
_cell_length_c 7.419
_cell_angle_alpha 90.00
_cell_angle_beta 90.00
_cell_angle_gamma 90.00
loop_
_atom_site_label
_atom_site_fract_x
_atom_site_fract_y
_atom_site_fract_z
_atom_site_occupancy
Th1 0.000 0.000 0.000 1
Zr1 0.000 0.000 0.500 1
Ag1 0.250 0.250 0.250 1
Pb1 0.250 0.250 0.750 1